Record 1
Zr2HgMoW | PBE-GGA | optimized geometry

```
5
Lattice="-5.0871 -0.1403 -0.6638 0.6168 -1.5574 -4.3977 -0.0886 -4.8409 1.7019" Properties=species:S:1:pos:R:3 pbc="T T T"
Mo 0.3084 -0.7787 -2.1989
Hg -2.2794 -3.2693 -1.6798
Zr -0.0443 -2.4204 0.8510
Zr -2.5435 -0.0701 -0.3319
W 0.0000 0.0000 0.0000
```

Summary:
Calculated volume, Å³/atom: 24.79
Calculated formation energy, kJ/mol of formula units: 486

Record 2
YHg2Mo | PBE-GGA | optimized geometry

```
4
Lattice="3.0982 0.0135 0.0000 -0.1906 3.0924 0.0000 0.0000 0.0000 9.1214" Properties=species:S:1:pos:R:3 pbc="T T T"
Hg 1.4538 1.5529 2.4425
Hg 0.0000 0.0000 0.0474
Y 1.4538 1.5529 6.7098
Mo 0.0000 0.0000 4.4825
```

Summary:
Energy above the most stable polymorph in this dataset, meV/atom: 97
Calculated volume, Å³/atom: 21.85
Calculated formation energy, kJ/mol of formula units: 106

Record 3
Y2HgMo | PBE-GGA | optimized geometry

```
4
Lattice="-2.1850 5.0962 -8.6566 -3.7470 2.1684 -9.3242 -5.3271 4.5566 -7.5194" Properties=species:S:1:pos:R:3 pbc="T T T"
Mo -8.4759 8.8991 -19.1968
Hg -5.5360 5.8124 -12.5383
Y -0.1496 0.1570 -0.3388
Y -2.7271 2.8632 -6.1764
```

Summary:
Calculated volume, Å³/atom: 25.04
Calculated formation energy, kJ/mol of formula units: 157

Record 4
Y2HgMo | PBE-GGA | optimized geometry

```
8
Lattice="-0.6769 -2.2756 -3.7638 4.3650 0.1199 -0.8574 3.0736 -9.7832 2.7315" Properties=species:S:1:pos:R:3 pbc="T T T"
Mo 4.6414 -5.3706 -0.2183
Mo 1.8441 -1.0779 -2.3106
Y 0.8992 -3.8255 -1.7311
Y 3.4037 -2.6829 -0.3691
Y 5.4795 -9.2251 -1.9846
Y 3.7411 -8.1443 0.3053
Hg 0.0000 0.0000 0.0000
Hg 2.1204 -6.5683 -1.6715
```

Summary:
Calculated volume, Å³/atom: 25.09
Calculated formation energy, kJ/mol of formula units: 270